NdTeAuO: relaxed, GGA-PBE.

Output
- raw total energy (eV/cell) = -92.7
- E above lowest polymorph (meV per atom) = 1
- crystal system = orthorhombic

POSCAR file:
```
NdTeAuO
1.0
5.879 0.000 0.000
0.000 10.289 0.000
0.000 0.000 5.901
Nd Te Au O
4 4 4 4
Direct
0.000 0.111 0.250 Nd
0.000 0.889 0.750 Nd
0.500 0.111 0.750 Nd
0.500 0.889 0.250 Nd
0.000 0.283 0.750 Te
0.000 0.717 0.250 Te
0.500 0.283 0.250 Te
0.500 0.717 0.750 Te
0.250 0.500 0.244 Au
0.250 0.500 0.744 Au
0.750 0.500 0.256 Au
0.750 0.500 0.756 Au
0.250 0.000 0.000 O
0.250 0.000 0.500 O
0.750 0.000 0.000 O
0.750 0.000 0.500 O
```

=====

NdTeAuO: relaxed, GGA-PBE.

Output
- raw total energy (eV/cell) = -92.7
- E above lowest polymorph (meV per atom) = 0
- crystal system = orthorhombic

POSCAR file:
```
NdTeAuO
1.0
10.364 0.000 0.000
0.000 5.868 0.000
0.000 0.000 5.892
Nd Te Au O
4 4 4 4
Direct
0.111 0.250 0.000 Nd
0.111 0.750 0.500 Nd
0.889 0.250 0.500 Nd
0.889 0.750 0.000 Nd
0.283 0.250 0.501 Te
0.283 0.750 0.001 Te
0.717 0.250 0.001 Te
0.717 0.750 0.501 Te
0.500 0.000 0.001 Au
0.500 0.000 0.501 Au
0.500 0.500 0.001 Au
0.500 0.500 0.501 Au
0.000 0.000 0.250 O
0.000 0.000 0.750 O
0.000 0.500 0.250 O
0.000 0.500 0.750 O
```